VASP calculation (PBE-GGA) on an optimized crystal structure of Rb2NpHO6.

The structure in extended XYZ format:
```
10
Lattice="6.994 0.010 -0.012 -0.007 6.993 0.047 3.462 3.538 3.466" Properties=species:S:1:pos:R:3 pbc="T T T"
O 8.296 8.383 3.483
O 6.980 7.008 1.247
O 5.613 8.379 3.463
O 2.153 2.158 0.019
O 4.836 2.162 0.038
O 3.469 3.533 2.254
H 0.000 0.000 0.000
Rb 3.443 6.965 1.765
Rb 7.006 3.576 1.736
Np 3.493 3.502 0.018
```

Computed properties:
- E_tot: -6.455 eV per atom
- Space-group type: No. 2
- Total moment: 2.0 μB per cell

=====

VASP calculation (PBE-GGA) on an optimized crystal structure of Al2CdBr.

The structure in extended XYZ format:
```
4
Lattice="3.982 0.235 3.194 0.009 3.386 3.828 -0.498 -1.600 4.828" Properties=species:S:1:pos:R:3 pbc="T T T"
Br 0.000 0.000 0.000
Al 2.620 1.516 8.887
Al 0.873 0.505 2.962
Cd 1.746 1.011 5.925
```

Computed properties:
- Relative energy among the computed polymorphs: 0.98 eV per formula unit
- Space-group type: No. 225
- Formation energy from raw total energies: 292 meV per atom
- Total moment: 0.0 μB per cell